[1]
Material: ZrPS3
Method: DFT, meta-GGA SCAN
State: single point on PBEsol structure

Cell lengths 4.403, 4.403, 4.403 Å; angles 90.00, 90.00, 90.00 degrees
Atoms (fractional coordinates):
S 0.000 0.500 0.000
S 0.500 0.000 0.000
Zr 0.500 0.500 0.500
S 0.000 0.000 0.500
P 0.000 0.000 0.000

Values from the calculation:
- symmetry = Pm-3m (221)



[2]
Material: ZrP2S7
Method: DFT, meta-GGA SCAN
State: single point on PBEsol structure

Cell lengths 8.518, 8.518, 15.398 Å; angles 98.26, 98.26, 118.71 degrees
Atoms (fractional coordinates):
S 0.298 0.113 0.098
S 0.600 0.857 0.855
S 0.235 0.551 0.598
S 0.363 0.048 0.598
S 0.281 0.719 0.000
P 0.752 0.140 0.886
P 0.116 0.004 0.614
S 0.107 0.350 0.355
P 0.254 0.866 0.114
S 0.793 0.361 0.216
S 0.255 0.998 0.855
S 0.449 0.765 0.402
P 0.390 0.502 0.386
S 0.969 0.031 0.500
S 0.801 0.985 0.098
Zr 0.891 0.891 0.781
S 0.719 0.281 0.000
S 0.015 0.199 0.902
S 0.423 0.856 0.216
S 0.650 0.893 0.645
S 0.611 0.543 0.716
P 0.134 0.746 0.886
S 0.144 0.577 0.784
P 0.860 0.248 0.114
Zr 0.109 0.109 0.219
S 0.457 0.389 0.284
S 0.995 0.752 0.645
S 0.887 0.702 0.902
S 0.106 0.173 0.716
S 0.827 0.894 0.284
S 0.143 0.400 0.145
S 0.639 0.207 0.784
P 0.498 0.610 0.614
Zr 0.359 0.859 0.719
S 0.002 0.745 0.145
Zr 0.141 0.641 0.281
P 0.996 0.884 0.386
S 0.248 0.005 0.355
S 0.952 0.637 0.402
S 0.531 0.469 0.500

Values from the calculation:
- symmetry = Fddd (70)



[3]
Material: Zr2P3S
Method: DFT, meta-GGA SCAN
State: single point on PBEsol structure

Cell lengths 3.556, 3.556, 7.783 Å; angles 90.00, 90.00, 90.00 degrees
Atoms (fractional coordinates):
P 0.000 0.500 0.999
P 0.500 0.000 0.999
Zr 0.000 0.000 0.735
Zr 0.500 0.500 0.265
S 0.500 0.500 0.622
P 0.000 0.000 0.380

Values from the calculation:
- symmetry = P4mm (99)



[4]
Material: SbP
Method: DFT, meta-GGA SCAN
State: single point on PBEsol structure

Cell lengths 3.883, 3.883, 6.217 Å; angles 108.20, 108.20, 90.00 degrees
Atoms (fractional coordinates):
Sb 0.750 0.250 0.500
P 0.000 0.000 0.000
Sb 0.500 0.500 0.000
P 0.250 0.750 0.500

Values from the calculation:
- symmetry = I4_1/amd (141)
- offset from the most stable computed form (eV per atom) = 0.400



| no. | formation energy from raw total energies (kJ/mol of atoms) | density of states at the Fermi level (states/eV per cell) |
| --- | --- | --- |
| 1 | -13 | 2.87 |
| 2 | -73 | 0.00 |
| 3 | -118 | 0.94 |
| 4 | 63 | 2.28 |